Entry one
Compound: ZrIn2Pd2
Source: the Alexandria database
Functional: PBE-GGA
Structure: relaxed

Its total magnetization is 0.0 Bohr magnetons per cell. The calculation puts the density of states at the Fermi level at 4.3 states/eV/cell.

The space group is Pmmn (No. 59, origin choice 2) and the conventional cell measures 4.6164, 4.6380 and 9.6859 Å, with angles of 90.00, 90.00 and 90.00 degrees. The distinct sites, in fractional coordinates, are Zr at (0.2500, 0.2500, 0.1742), In at (0.2500, 0.2500, 0.5021), In at (0.2500, 0.2500, 0.8279), Pd at (0.2500, 0.7500, 0.3301) and Pd at (0.2500, 0.7500, 0.9934).

Entry two
Compound: ZrIn2Pd2
Source: the Alexandria database
Functional: PBE-GGA
Structure: relaxed

Its total magnetization is 0.0 Bohr magnetons per cell. The calculation puts the density of states at the Fermi level at 7.3 states/eV/cell.

The space group is P4/mbm (No. 127) and the conventional cell measures 7.8569, 7.8569 and 3.1101 Å, with angles of 90.00, 90.00 and 90.00 degrees. The distinct sites, in fractional coordinates, are Zr at (0.0000, 0.0000, 0.0000), In at (0.1646, 0.3354, 0.5000) and Pd at (0.1325, 0.6325, 0.0000).

Entry three
Compound: ZrIn2Pd2
Source: the Alexandria database
Functional: PBE-GGA
Structure: relaxed

Its total magnetization is 0.0 Bohr magnetons per cell. The calculation puts the density of states at the Fermi level at 7.1 states/eV/cell.

The space group is P4/mbm (No. 127) and the conventional cell measures 7.9953, 7.9953 and 3.0091 Å, with angles of 90.00, 90.00 and 90.00 degrees. The distinct sites, in fractional coordinates, are Zr at (0.0000, 0.0000, 0.0000), In at (0.1326, 0.3674, 0.0000) and Pd at (0.1666, 0.6666, 0.5000).

Quick one: least stable of them? entry three

Entry one
Compound: ZrInPd3
Source: the Alexandria database
Functional: PBE-GGA
Structure: relaxed

Its total magnetization is 0.0 Bohr magnetons per cell. The calculation puts the density of states at the Fermi level at 7.9 states/eV/cell.

The space group is Pm-3m (No. 221) and the conventional cell measures 4.8497, 4.8497 and 4.8497 Å, with angles of 90.00, 90.00 and 90.00 degrees. The distinct sites, in fractional coordinates, are Zr at (0.0000, 0.0000, 0.0000), In at (0.5000, 0.5000, 0.5000) and Pd at (0.0000, 0.5000, 0.5000).

Entry two
Compound: ZrInPd3
Source: the Alexandria database
Functional: PBE-GGA
Structure: relaxed

Its total magnetization is 0.0 Bohr magnetons per cell. The calculation puts the density of states at the Fermi level at 9.6 states/eV/cell.

The space group is Cmcm (No. 63) and the conventional cell measures 5.3691, 14.0945 and 5.0583 Å, with angles of 90.00, 90.00 and 90.00 degrees. The distinct sites, in fractional coordinates, are Zr at (0.0000, 0.1908, 0.2500), In at (0.0000, 0.4282, 0.7500), Pd at (0.0000, 0.0000, 0.0000) and Pd at (0.2489, 0.3538, 0.2500).

Entry three
Compound: ZrInPd3
Source: the Alexandria database
Functional: PBE-GGA
Structure: relaxed

Its total magnetization is 0.0 Bohr magnetons per cell. The calculation puts the density of states at the Fermi level at 3.7 states/eV/cell.

The space group is Pm-3m (No. 221) and the conventional cell measures 4.9646, 4.9646 and 4.9646 Å, with angles of 90.00, 90.00 and 90.00 degrees. The distinct sites, in fractional coordinates, are Zr at (0.0000, 0.0000, 0.0000), In at (0.5000, 0.5000, 0.5000) and Pd at (0.0000, 0.0000, 0.5000).

Entry four
Compound: ZrInPd3
Source: the Alexandria database
Functional: PBE-GGA
Structure: relaxed

Its total magnetization is 0.0 Bohr magnetons per cell. The calculation puts the density of states at the Fermi level at 5.4 states/eV/cell.

The space group is P2_1/m (No. 11) and the conventional cell measures 4.6309, 5.9699 and 6.9073 Å, with angles of 90.00, 109.49 and 90.00 degrees. The distinct sites, in fractional coordinates, are Zr at (0.1132, 0.2500, 0.2275), In at (0.1327, 0.7500, 0.2649), Pd at (0.3142, 0.9995, 0.6289) and Pd at (0.4980, 0.2500, 0.9964).

Quick one: least stable of them? entry one

Entry one
Compound: PmIn4
Source: the Alexandria database
Functional: PBE-GGA
Structure: relaxed

Its total magnetization is 0.0 Bohr magnetons per cell. The calculation puts the density of states at the Fermi level at 8.2 states/eV/cell.

The space group is Imma (No. 74) and the conventional cell measures 4.8559, 6.7833 and 15.8921 Å, with angles of 90.00, 90.00 and 90.00 degrees. The distinct sites, in fractional coordinates, are Pm at (0.0000, 0.2500, 0.1017), In at (0.0000, 0.0000, 0.5000), In at (0.0000, 0.0104, 0.6971) and In at (0.0000, 0.2500, 0.8929).

Entry two
Compound: PmIn4
Source: the Alexandria database
Functional: PBE-GGA
Structure: relaxed

Its total magnetization is 0.0 Bohr magnetons per cell. The calculation puts the density of states at the Fermi level at 4.6 states/eV/cell.

The space group is Pm-3m (No. 221) and the conventional cell measures 5.9799, 5.9799 and 5.9799 Å, with angles of 90.00, 90.00 and 90.00 degrees. The distinct sites, in fractional coordinates, are Pm at (0.0000, 0.0000, 0.0000), In at (0.0000, 0.0000, 0.5000) and In at (0.5000, 0.5000, 0.5000).

Quick one: least stable of them? entry two

Entry one
Compound: Pm4In
Source: the Alexandria database
Functional: PBE-GGA
Structure: relaxed

Its total magnetization is 0.0 Bohr magnetons per cell. The calculation puts the density of states at the Fermi level at 25.3 states/eV/cell.

The space group is Imma (No. 74) and the conventional cell measures 5.3537, 6.9187 and 16.6889 Å, with angles of 90.00, 90.00 and 90.00 degrees. The distinct sites, in fractional coordinates, are Pm at (0.0000, 0.0000, 0.0000), Pm at (0.0000, 0.0114, 0.1992), Pm at (0.0000, 0.2500, 0.6016) and In at (0.0000, 0.2500, 0.3898).

Entry two
Compound: Pm4In
Source: the Alexandria database
Functional: PBE-GGA
Structure: relaxed

Its total magnetization is 0.0 Bohr magnetons per cell. The calculation puts the density of states at the Fermi level at 9.6 states/eV/cell.

The space group is Pm-3m (No. 221) and the conventional cell measures 5.8721, 5.8721 and 5.8721 Å, with angles of 90.00, 90.00 and 90.00 degrees. The distinct sites, in fractional coordinates, are Pm at (0.0000, 0.0000, 0.0000), Pm at (0.0000, 0.5000, 0.5000) and In at (0.5000, 0.5000, 0.5000).

Entry three
Compound: Pm4In
Source: the Alexandria database
Functional: PBE-GGA
Structure: relaxed

Its total magnetization is 0.0 Bohr magnetons per cell. The calculation puts the density of states at the Fermi level at 12.3 states/eV/cell.

The space group is I4/mmm (No. 139) and the conventional cell measures 3.6644, 3.6644 and 24.1098 Å, with angles of 90.00, 90.00 and 90.00 degrees. The distinct sites, in fractional coordinates, are Pm at (0.0000, 0.0000, 0.0881), Pm at (0.0000, 0.0000, 0.3040) and In at (0.0000, 0.0000, 0.5000).

Quick one: least stable of them? entry two

Entry one
Compound: Pm8Pr2In
Source: the Alexandria database
Functional: PBE-GGA
Structure: relaxed

Its total magnetization is 0.0 Bohr magnetons per cell. The calculation puts the density of states at the Fermi level at 28.2 states/eV/cell.

The space group is C2/m (No. 12) and the conventional cell measures 18.4757, 5.0787 and 8.1155 Å, with angles of 90.00, 105.31 and 90.00 degrees. The distinct sites, in fractional coordinates, are Pm at (0.0436, 0.0000, 0.2279), Pm at (0.0886, 0.5000, 0.9407), Pm at (0.1350, 0.0000, 0.6756), Pm at (0.1778, 0.5000, 0.4085), Pr at (0.2234, 0.0000, 0.1353) and In at (0.0000, 0.5000, 0.5000).

Entry two
Compound: Pm8Pr2In
Source: the Alexandria database
Functional: PBE-GGA
Structure: relaxed

Its total magnetization is 0.0 Bohr magnetons per cell. The calculation puts the density of states at the Fermi level at 31.2 states/eV/cell.

The space group is Immm (No. 71) and the conventional cell measures 5.6103, 7.7648 and 17.5462 Å, with angles of 90.00, 90.00 and 90.00 degrees. The distinct sites, in fractional coordinates, are Pm at (0.0000, 0.0000, 0.1761), Pm at (0.0000, 0.2270, 0.3645), Pm at (0.0000, 0.2566, 0.0000), Pr at (0.0000, 0.5000, 0.1930) and In at (0.0000, 0.5000, 0.5000).

Quick one: least stable of them? entry two